# InCo2PbF, optimized geometry, DFT PBE with a Hubbard U
# Raw total energy: -3.622 eV/atom
# Theoretical density: 7.4 g cm⁻³
data_InCo2PbF
_cell_length_a 4.536
_cell_length_b 4.996
_cell_length_c 4.536
_cell_angle_alpha 90.00
_cell_angle_beta 90.00
_cell_angle_gamma 90.00
_symmetry_space_group_name_H-M 'P 1'
_symmetry_Int_Tables_number 1
loop_
_symmetry_equiv_pos_as_xyz
'x,y,z'
loop_
_atom_site_label
_atom_site_type_symbol
_atom_site_fract_x
_atom_site_fract_y
_atom_site_fract_z
_atom_site_occupancy
In1 In 0.000 0.500 0.000 1
Co1 Co 0.000 0.000 0.500 1
Co2 Co 0.500 0.000 0.000 1
Pb1 Pb 0.500 0.500 0.500 1
F1 F 0.000 0.000 0.000 1